The following is a GGA-PBEsol calculation of an optimized crystal structure of Mg2Ta2CrO8, from Alexandria.

```
data_Mg2Ta2CrO8
_space_group_name_H-M_alt 'P 1'
_space_group_IT_number 1
_space_group_name_Hall 'P 1'
_cell_length_a 5.157
_cell_length_b 5.910
_cell_length_c 9.833
_cell_angle_alpha 107.50
_cell_angle_beta 90.68
_cell_angle_gamma 90.00
loop_
_atom_site_label
_atom_site_type_symbol
_atom_site_fract_x
_atom_site_fract_y
_atom_site_fract_z
_atom_site_occupancy
Mg1 Mg 0.755 0.418 0.546 1
Mg2 Mg 0.745 0.871 0.454 1
Mg3 Mg 0.245 0.582 0.454 1
Mg4 Mg 0.255 0.129 0.546 1
Ta1 Ta 0.749 0.272 0.230 1
Ta2 Ta 0.751 0.042 0.770 1
Ta3 Ta 0.251 0.728 0.770 1
Ta4 Ta 0.249 0.958 0.230 1
Cr1 Cr 0.250 0.364 0.000 1
Cr2 Cr 0.750 0.636 0.000 1
O1 O 0.086 0.188 0.136 1
O2 O 0.414 0.052 0.864 1
O3 O 0.914 0.812 0.864 1
O4 O 0.586 0.948 0.136 1
O5 O 0.584 0.430 0.114 1
O6 O 0.916 0.317 0.886 1
O7 O 0.416 0.570 0.886 1
O8 O 0.084 0.683 0.114 1
O9 O 0.451 0.284 0.370 1
O10 O 0.049 0.914 0.630 1
O11 O 0.951 0.086 0.370 1
O12 O 0.549 0.716 0.630 1
O13 O 0.378 0.836 0.382 1
O14 O 0.122 0.454 0.618 1
O15 O 0.622 0.164 0.618 1
O16 O 0.878 0.546 0.382 1
```

Output
The space group is No. 15. The crystal system is monoclinic. As for the total moment: 8.00 μB/cell. As for the raw formation energy: -250 kJ per mole of atoms.